No. 1
# La3MgHg2Pt2Au PBE optimized geometry
data_La3MgHg2Pt2Au
_cell_length_a 4.0744
_cell_length_b 13.7188
_cell_length_c 7.7718
_cell_angle_alpha 90.00
_cell_angle_beta 90.00
_cell_angle_gamma 90.00
_symmetry_space_group_name_H-M 'A m m 2'
_symmetry_Int_Tables_number 38
_symmetry_space_group_name_Hall 'A 2 -2'
loop_
_atom_site_label
_atom_site_type_symbol
_atom_site_fract_x
_atom_site_fract_y
_atom_site_fract_z
La1 La 0.0000 0.0000 0.0000
La2 La 0.0000 0.2095 0.6013
Mg1 Mg 0.5000 0.0000 0.6537
Hg1 Hg 0.5000 0.1301 0.2720
Pt1 Pt 0.5000 0.1584 0.8864
Au1 Au 0.0000 0.0000 0.4232
# Size of the total moment, Bohr magnetons per cell: 0.1
# Raw total energy, eV/atom: -4.4474
# Crystal system: orthorhombic

***

No. 2
# LaNd2NiHg3Au2 PBE optimized geometry
data_LaNd2NiHg3Au2
_cell_length_a 3.9628
_cell_length_b 13.7125
_cell_length_c 7.8832
_cell_angle_alpha 90.00
_cell_angle_beta 90.00
_cell_angle_gamma 90.00
_symmetry_space_group_name_H-M 'A m m 2'
_symmetry_Int_Tables_number 38
_symmetry_space_group_name_Hall 'A 2 -2'
loop_
_atom_site_label
_atom_site_type_symbol
_atom_site_fract_x
_atom_site_fract_y
_atom_site_fract_z
La1 La 0.0000 0.0000 0.0000
Nd1 Nd 0.0000 0.1968 0.5923
Ni1 Ni 0.0000 0.0000 0.3923
Hg1 Hg 0.5000 0.0000 0.6384
Hg2 Hg 0.5000 0.1242 0.2733
Au1 Au 0.5000 0.1677 0.8940
# Size of the total moment, Bohr magnetons per cell: 0.0
# Crystal system: orthorhombic
# ΔE_f, eV per atom: -0.578

***

No. 3
# La2PrHg3PdAu2 PBE optimized geometry
data_La2PrHg3PdAu2
_cell_length_a 4.0013
_cell_length_b 13.9182
_cell_length_c 8.0395
_cell_angle_alpha 90.00
_cell_angle_beta 90.00
_cell_angle_gamma 90.00
_symmetry_space_group_name_H-M 'A m m 2'
_symmetry_Int_Tables_number 38
_symmetry_space_group_name_Hall 'A 2 -2'
loop_
_atom_site_label
_atom_site_type_symbol
_atom_site_fract_x
_atom_site_fract_y
_atom_site_fract_z
La1 La 0.0000 0.1985 0.0000
Pr1 Pr 0.0000 0.0000 0.5955
Hg1 Hg 0.5000 0.0000 0.9403
Hg2 Hg 0.5000 0.1289 0.3276
Pd1 Pd 0.0000 0.0000 0.1985
Au1 Au 0.5000 0.1666 0.6984
# Size of the total moment, Bohr magnetons per cell: 0.0
# Crystal system: orthorhombic
# ΔE_f, eV per atom: -0.693

***

No. 4
# LaPr2Hg3PdAu2 PBE optimized geometry
data_LaPr2Hg3PdAu2
_cell_length_a 3.9915
_cell_length_b 13.8922
_cell_length_c 8.0183
_cell_angle_alpha 90.00
_cell_angle_beta 90.00
_cell_angle_gamma 90.00
_symmetry_space_group_name_H-M 'A m m 2'
_symmetry_Int_Tables_number 38
_symmetry_space_group_name_Hall 'A 2 -2'
loop_
_atom_site_label
_atom_site_type_symbol
_atom_site_fract_x
_atom_site_fract_y
_atom_site_fract_z
La1 La 0.0000 0.0000 0.0000
Pr1 Pr 0.0000 0.1985 0.5955
Hg1 Hg 0.5000 0.0000 0.6549
Hg2 Hg 0.5000 0.1291 0.2681
Pd1 Pd 0.0000 0.0000 0.3970
Au1 Au 0.5000 0.1667 0.8969
# Size of the total moment, Bohr magnetons per cell: 0.0
# Crystal system: orthorhombic
# ΔE_f, eV per atom: -0.677

***

No. 5
# La2SmHg3PdAu2 PBE optimized geometry
data_La2SmHg3PdAu2
_cell_length_a 3.9784
_cell_length_b 13.8433
_cell_length_c 8.0339
_cell_angle_alpha 90.00
_cell_angle_beta 90.00
_cell_angle_gamma 90.00
_symmetry_space_group_name_H-M 'A m m 2'
_symmetry_Int_Tables_number 38
_symmetry_space_group_name_Hall 'A 2 -2'
loop_
_atom_site_label
_atom_site_type_symbol
_atom_site_fract_x
_atom_site_fract_y
_atom_site_fract_z
La1 La 0.0000 0.1983 0.0000
Sm1 Sm 0.0000 0.0000 0.5937
Hg1 Hg 0.5000 0.0000 0.9378
Hg2 Hg 0.5000 0.1279 0.3281
Pd1 Pd 0.0000 0.0000 0.1973
Au1 Au 0.5000 0.1653 0.6968
# Size of the total moment, Bohr magnetons per cell: 0.0
# Crystal system: orthorhombic
# ΔE_f, eV per atom: -0.693

***

No. 6
# LaSm2Hg3PdAu2 PBE optimized geometry
data_LaSm2Hg3PdAu2
_cell_length_a 3.9334
_cell_length_b 13.8530
_cell_length_c 7.9507
_cell_angle_alpha 90.00
_cell_angle_beta 90.00
_cell_angle_gamma 90.00
_symmetry_space_group_name_H-M 'A m m 2'
_symmetry_Int_Tables_number 38
_symmetry_space_group_name_Hall 'A 2 -2'
loop_
_atom_site_label
_atom_site_type_symbol
_atom_site_fract_x
_atom_site_fract_y
_atom_site_fract_z
La1 La 0.0000 0.0000 0.0000
Sm1 Sm 0.0000 0.1977 0.5946
Hg1 Hg 0.5000 0.0000 0.6534
Hg2 Hg 0.5000 0.1309 0.2678
Pd1 Pd 0.0000 0.0000 0.3947
Au1 Au 0.5000 0.1678 0.8952
# Size of the total moment, Bohr magnetons per cell: 0.0
# Crystal system: orthorhombic
# ΔE_f, eV per atom: -0.681